# 1
Np3PaTl4O12, relaxed, DFT GGA-PBE; space-group type = Im-3m, No. 229; E_form (uncorrected) = -2396 meV per atom
1.0
-5.0115 -3.0374 4.7271
6.6362 -3.4620 0.8137
0.7857 7.3271 1.5437
Np Pa Tl O
3 1 4 12
Direct
0.5000 0.0000 0.5000
0.5000 0.5000 0.0000
0.0000 0.5000 0.5000
0.0000 0.0000 0.0000
0.5000 0.5000 0.5000
0.0000 0.0000 0.5000
0.5000 0.0000 0.0000
0.0000 0.5000 0.0000
0.2500 0.5000 0.7500
0.7475 0.0000 0.7475
0.2525 0.0000 0.2525
0.7500 0.5000 0.2500
0.7475 0.7475 0.0000
0.2525 0.2525 0.0000
0.7500 0.2500 0.5000
0.2500 0.7500 0.5000
0.5000 0.2500 0.7500
0.0000 0.7475 0.7475
0.5000 0.7500 0.2500
0.0000 0.2525 0.2525

***

# 2
CuTc, relaxed, DFT GGA-PBE; space-group type = C2/m, No. 12; energy relative to the elements = 0.195 eV per atom; offset from the most stable computed form = 0.20 eV/f.u.
1.0
2.5737 0.0000 0.0000
-1.2869 4.4359 0.0035
0.0000 -0.6156 4.7131
Cu Tc
2 2
Direct
0.9981 0.9961 0.9782
0.2519 0.5039 0.7718
0.7451 0.4902 0.2665
0.5049 0.0098 0.4835

***

# 3
Pd2Pt4W, relaxed, DFT GGA-PBE; space-group type = Cmmm, No. 65; energy relative to the elements = 0.011 eV per atom
1.0
-1.3633 1.5856 -1.7677
1.6264 -2.5455 -3.5376
-7.9245 -4.1426 2.3960
Pd Pt W
2 4 1
Direct
0.5000 0.2143 0.4286
0.5000 0.7857 0.5714
0.5000 0.6311 0.2622
0.0000 0.9235 0.8470
0.5000 0.3689 0.7378
0.0000 0.0765 0.1530
0.0000 0.5000 0.0000

***

# 4
BeVSn2N, relaxed, DFT GGA-PBE; space-group type = P4/mmm, No. 123; E_form (uncorrected) = 1367 meV per atom
1.0
-1.9893 -4.1384 -0.4065
0.3959 0.2270 -4.2477
4.1363 -2.0156 0.2778
Be N Sn V
1 1 2 1
Direct
0.0000 0.0000 0.0000
0.5000 0.5000 0.5000
0.0000 0.0000 0.5000
0.5000 0.0000 0.0000
0.0000 0.5000 0.0000

***

# 5
Ni3RuPt, relaxed, DFT GGA-PBE; space-group type = Pm-3m, No. 221; energy relative to the elements = 1.403 eV per atom; offset from the most stable computed form = 6.98 eV/f.u.
1.0
4.3773 0.0000 0.0000
0.0000 4.3773 0.0000
0.0000 0.0000 4.3773
Ru Pt Ni
1 1 3
Direct
0.0000 0.0000 0.0000
0.5000 0.5000 0.5000
0.0000 0.5000 0.0000
0.0000 0.0000 0.5000
0.5000 0.0000 0.0000

***

# 6
CaAgClO, relaxed, DFT GGA-PBE; space-group type = P3m1, No. 156; E_form (uncorrected) = -1595 meV per atom
1.0
3.8378 0.0000 0.0000
-1.9189 3.3236 0.0000
0.0000 0.0000 6.9085
Ca Ag Cl O
1 1 1 1
Direct
0.3333 0.6667 0.5525
0.6667 0.3333 0.9317
0.3333 0.6667 0.1528
0.6667 0.3333 0.6130

***

# 7
Ir2PbCl, relaxed, DFT GGA-PBE; space-group type = C2/m, No. 12; E_form (uncorrected) = 756 meV per atom; offset from the most stable computed form = 2.23 eV/f.u.
1.0
5.6659 -0.0336 0.0054
-2.7409 4.9590 0.0054
0.8059 1.3571 2.6182
Pb Ir Cl
1 2 1
Direct
0.5000 0.0000 0.5000
0.0000 0.0000 0.0000
0.5000 0.5000 0.0000
0.0000 0.5000 0.5000

***

# 8
Pm2DyTm2Mg5, relaxed, DFT GGA-PBE; space-group type = P4/mbm, No. 127; energy relative to the elements = 0.040 eV per atom
1.0
5.0602 0.0000 0.0000
0.0000 10.5840 0.0000
0.0000 0.0000 10.5840
Pm Dy Tm Mg
4 2 4 10
Direct
0.0000 0.6775 0.1775
0.0000 0.3225 0.8225
0.0000 0.1775 0.3225
0.0000 0.8225 0.6775
0.0000 0.0000 0.0000
0.0000 0.5000 0.5000
0.0000 0.1188 0.6188
0.0000 0.8812 0.3812
0.0000 0.6188 0.8812
0.0000 0.3812 0.1188
0.5000 0.1988 0.0695
0.5000 0.8012 0.9305
0.5000 0.0695 0.8012
0.5000 0.6988 0.4305
0.5000 0.9305 0.1988
0.5000 0.3012 0.5695
0.5000 0.5695 0.6988
0.5000 0.4305 0.3012
0.5000 0.5000 0.0000
0.5000 0.0000 0.5000

***

# 9
ScBeW, relaxed, DFT GGA-PBE; space-group type = P3m1, No. 156; energy relative to the elements = 0.402 eV per atom; offset from the most stable computed form = 1.14 eV/f.u.
1.0
-3.4030 -0.4815 -2.7767
2.9909 -3.2264 0.4095
-1.5184 -1.1461 2.0596
Sc Be W
1 1 1
Direct
0.6667 0.3333 0.3196
0.0000 0.0000 0.9121
0.3333 0.6667 0.7683

***

# 10
TbNd4Pb2, relaxed, DFT GGA-PBE; space-group type = I4/mmm, No. 139; energy relative to the elements = 0.319 eV per atom
1.0
-1.1463 1.7608 -5.1394
0.6459 -5.1711 -1.9158
-7.9236 0.1999 4.8349
Tb Nd Pb
1 4 2
Direct
0.0000 0.0000 0.0000
0.8170 0.8170 0.6341
0.1830 0.1830 0.3659
0.0000 0.5000 0.0000
0.5000 0.0000 0.0000
0.6308 0.6308 0.2615
0.3692 0.3692 0.7385

***

# 11
RbGePd2, relaxed, DFT GGA-PBE; space-group type = I4_1/amd, No. 141; energy relative to the elements = -0.116 eV per atom
1.0
-3.3943 -3.7342 2.1115
-0.4866 -2.3400 -4.9206
4.2947 -7.7785 0.2337
Ge Rb Pd
2 2 4
Direct
0.5000 0.5000 0.0000
0.2500 0.7500 0.5000
0.0000 0.0000 0.0000
0.7500 0.2500 0.5000
0.3748 0.1250 0.2500
0.3752 0.6250 0.2500
0.3750 0.6252 0.7500
0.8750 0.6248 0.7500

***

# 12
MgSc2InRh4, relaxed, DFT GGA-PBE; space-group type = R-3m, No. 166; energy relative to the elements = -0.826 eV per atom
1.0
4.5282 0.0000 0.0000
2.2641 3.9215 0.0000
2.2641 1.3072 7.3766
Mg Sc In Rh
1 2 1 4
Direct
0.0000 0.0000 0.0000
0.7492 0.7492 0.7524
0.2508 0.2508 0.2476
0.5000 0.5000 0.5000
0.3740 0.3740 0.8781
0.8762 0.8762 0.3714
0.1238 0.1238 0.6286
0.6260 0.6260 0.1219